A plane-wave DFT calculation with PBE was carried out for an optimized crystal structure of LiNb2CrCu.

Cell: 4.510 4.510 4.712 Å, 90.00 90.00 90.00°
Element x y z (fractional)
Li: 0.000 0.000 0.000
Nb: 0.000 0.500 0.500
Nb: 0.500 0.000 0.500
Cr: 0.500 0.500 0.500
Cu: 0.500 0.500 0.000

- Fermi-level density of states (states/eV/f.u.) = 5.618
- uncorrected energy (eV/cell) = -31.3
- volume (Å³/cell) = 96
- formation enthalpy at 0 K (eV/atom) = 0.904

A plane-wave DFT calculation with PBE was carried out for an optimized crystal structure of LiCrCu2Ni.

Cell: 3.938 3.938 3.967 Å, 90.00 90.00 90.00°
Element x y z (fractional)
Li: 0.000 0.000 0.000
Cr: 0.500 0.500 0.500
Cu: 0.000 0.500 0.000
Cu: 0.500 0.000 0.000
Ni: 0.000 0.000 0.500

- Fermi-level density of states (states/eV/f.u.) = 10.189
- uncorrected energy (eV/cell) = -20.6
- volume (Å³/cell) = 62
- formation enthalpy at 0 K (eV/atom) = 0.987